Density functional theory data (GGA-PBE) for an optimized crystal structure of LiGeIr2.

Cell: 4.233 4.233 7.844 Å, 90.00 90.00 120.00°
Element x y z (fractional)
Li1 0.333 0.667 0.250
Li2 0.667 0.333 0.750
Ge1 0.000 0.000 0.000
Ge2 0.000 0.000 0.500
Ir1 0.333 0.667 0.587
Ir2 0.333 0.667 0.913
Ir3 0.667 0.333 0.087
Ir4 0.667 0.333 0.413

Results
Density in g cm⁻³: 12.66
Calculated total energy in eV/atom: -6.214